MnMoO4F after structural relaxation, computed with PBE with a Hubbard U.

The space group is P2_1/m (No. 11) and the conventional cell measures 5.5152, 5.8404 and 6.8741 Å, with angles of 90.00, 102.58 and 90.00 degrees. The inequivalent atoms are Mn at (0.1846, 0.2500, 0.4547), Mo at (0.3802, 0.7500, 0.7316), O at (0.1660, 0.5117, 0.6687), O at (0.2666, 0.2500, 0.2012), O at (0.4653, 0.7500, 0.4744) and F at (0.4058, 0.7500, 0.0143).

The raw total energy is -0.4938 Ry/atom.